The following is a GGA-PBE calculation of a relaxed Pu2GeO crystal, from Alexandria via LeMat-Bulk.

a b c (Å): 3.8711 6.0939 7.8322
angles (deg): 120.11 89.99 89.93
Last column: nearest neighbours and their distance in Å.
Positions (direct):
Pu  0.7009  0.7526  0.8236  3 O 2.36
Pu  0.7011  0.4411  0.1168  1 O 2.22
Pu  0.2014  0.1435  0.6453  3 O 2.31-2.34
Pu  0.2007  0.4735  0.3356  1 O 2.25
Ge  0.2010  0.8209  0.1536  2 Ge 2.52
Ge  0.7009  0.1139  0.3255  2 Ge 2.52
O  0.2009  0.7678  0.6585  4 Pu 2.25-2.36
O  0.7010  0.3534  0.8048  4 Pu 2.22-2.36

Results
Polymorph energy (0 for the lowest one) (meV per atom): 29
Symmetry: No. 1
D(E_F) (states/eV/atom): 2.9147
Uncorrected formation energy (eV per atom): -1.280
Size of the total moment (μB/f.u.): 5.60

The following is a GGA-PBE calculation of a relaxed ReSb2AuBr crystal, from Alexandria via LeMat-Bulk.

a b c (Å): 5.1453 5.1728 5.1453
angles (deg): 90.00 90.00 90.00
Last column: nearest neighbours and their distance in Å.
Positions (direct):
Re  0.0000  0.0000  0.0000  4 Sb 2.57, 2 Au 2.59
Au  0.0000  0.5000  0.0000  2 Re 2.59
Br  0.5000  0.5000  0.5000  4 Au 3.64, 8 Sb 3.65
Sb  0.0000  0.0000  0.5000  2 Re 2.57
Sb  0.5000  0.0000  0.0000  2 Re 2.57

Results
Polymorph energy (0 for the lowest one) (meV per atom): 0
Symmetry: No. 123
D(E_F) (states/eV/atom): 0.4615
Uncorrected formation energy (eV per atom): 0.506
Size of the total moment (μB/f.u.): 0.00

The following is a GGA-PBE calculation of a relaxed U2IrRh crystal, from Alexandria via LeMat-Bulk.

a b c (Å): 4.6305 4.6305 4.6305
angles (deg): 89.99 120.01 120.01
Last column: nearest neighbours and their distance in Å.
Positions (direct):
U  0.1250  0.8125  0.9375  4 U 2.84, 4 Ir 2.84
U  0.6250  0.0625  0.6875  4 Rh 2.84, 4 U 2.84
Ir  0.6250  0.5625  0.1875  4 Rh 2.84, 4 U 2.84
Rh  0.1250  0.3125  0.4375  4 U 2.84, 4 Ir 2.84

Results
Polymorph energy (0 for the lowest one) (meV per atom): 0
ΔE_f (eV per atom): -0.610
Symmetry: No. 216
D(E_F) (states/eV/atom): 1.2094
Size of the total moment (μB/f.u.): 2.13

The following is a GGA-PBE calculation of a relaxed TbCeTc crystal, from Alexandria via LeMat-Bulk.

a b c (Å): 3.5300 4.7162 4.7162
angles (deg): 120.00 90.00 90.00
Last column: nearest neighbours and their distance in Å.
Positions (direct):
Tb  0.6946  0.3333  0.6667  3 Tc 2.98, 3 Ce 3.12
Tc  0.0396  0.0000  0.0000  3 Ce 2.84, 3 Tb 2.98
Ce  0.2659  0.6667  0.3333  3 Tc 2.84, 3 Tb 3.12

Results
Polymorph energy (0 for the lowest one) (meV per atom): 134
ΔE_f (eV per atom): 0.058
Symmetry: No. 156
D(E_F) (states/eV/atom): 1.2676
Size of the total moment (μB/f.u.): 0.00

The following is a GGA-PBE calculation of a relaxed Ca4P12I crystal, from Alexandria via LeMat-Bulk.

a b c (Å): 8.2063 8.2063 8.2063
angles (deg): 109.47 109.47 109.47
Last column: nearest neighbours and their distance in Å.
Positions (direct):
Ca  0.0000  0.5000  0.0000  6 P 2.99
Ca  0.0000  0.0000  0.5000  6 P 2.99
Ca  0.5000  0.0000  0.0000  6 P 2.99
Ca  0.5000  0.5000  0.5000  6 P 2.99
P  0.7282  0.1138  0.6145  2 P 2.16-2.17
P  0.8862  0.3855  0.2718  2 P 2.16-2.17
P  0.3855  0.4993  0.1138  2 P 2.16-2.17
P  0.1138  0.3855  0.4993  2 P 2.16-2.17
P  0.6145  0.5007  0.8862  2 P 2.16-2.17
P  0.1138  0.6145  0.7282  2 P 2.16-2.17
P  0.6145  0.7282  0.1138  2 P 2.16-2.17
P  0.3855  0.2718  0.8862  2 P 2.16-2.17
P  0.8862  0.6145  0.5007  2 P 2.16-2.17
P  0.4993  0.1138  0.3855  2 P 2.16-2.17
P  0.5007  0.8862  0.6145  2 P 2.16-2.17
P  0.2718  0.8862  0.3855  2 P 2.16-2.17
I  0.0000  0.0000  0.0000  12 P 3.81, 8 Ca 4.10

Results
Symmetry: No. 204
D(E_F) (states/eV/atom): 0.2138
Uncorrected formation energy (eV per atom): -0.518
Size of the total moment (μB/f.u.): 0.00

The following is a GGA-PBE calculation of a relaxed Mg2Br2O crystal, from Alexandria via LeMat-Bulk.

a b c (Å): 6.5479 6.5479 4.6603
angles (deg): 90.00 90.00 90.00
Last column: nearest neighbours and their distance in Å.
Positions (direct):
Mg  0.2759  0.7759  0.0000  2 O 2.33, 2 Br 2.54
Mg  0.7759  0.7241  0.0000  2 O 2.33, 2 Br 2.54
Mg  0.7241  0.2241  0.0000  2 O 2.33, 2 Br 2.54
Mg  0.2241  0.2759  0.0000  2 O 2.33, 2 Br 2.54
O  0.0000  0.0000  0.0000  4 Mg 2.33
O  0.5000  0.5000  0.0000  4 Mg 2.33
Br  0.1672  0.6672  0.5000  2 Mg 2.54
Br  0.6672  0.8328  0.5000  2 Mg 2.54
Br  0.8328  0.3328  0.5000  2 Mg 2.54
Br  0.3328  0.1672  0.5000  2 Mg 2.54

Results
Symmetry: No. 127
D(E_F) (states/eV/atom): 0.0579
Uncorrected formation energy (eV per atom): -1.040
Size of the total moment (μB/f.u.): 0.00

Which of these has the highest size of the total moment?
Pu2GeO